# Na2LiCd8

Crystalline Na2LiCd8 at its relaxed geometry (GGA-PBE, Alexandria).

**Formation energy**: -94 meV/atom
**DOS at the Fermi energy**: 0.3336 states/eV per atom
**Final energy**: -0.086 Ry/atom
**V**: 22.684 A^3/atom

Cell and atoms, written as CIF:
```
data_Na2LiCd8
_chemical_formula_sum 'Na4 Li2 Cd16'
_space_group_name_H-M_alt 'C 1 2/m 1'
_space_group_IT_number 12
_cell_length_a 17.9557
_cell_length_b 5.1767
_cell_length_c 5.4147
_cell_angle_alpha 90.00
_cell_angle_beta 97.45
_cell_angle_gamma 90.00
loop_
_space_group_symop_operation_xyz
'x,y,z'
'-x,-y,-z'
'-x,y,-z'
'x,-y,z'
'x+1/2,y+1/2,z'
'-x+1/2,-y+1/2,-z'
'-x+1/2,y+1/2,-z'
'x+1/2,-y+1/2,z'
loop_
_atom_site_label
_atom_site_fract_x
_atom_site_fract_y
_atom_site_fract_z
Na1 0.1484 0.0000 0.3011
Li1 0.0000 0.5000 0.5000
Cd1 0.0425 0.0000 0.7568
Cd2 0.0804 0.5000 0.0632
Cd3 0.1651 0.5000 0.6256
Cd4 0.2455 0.0000 0.8337
```

# TlIn2HPb

Crystalline TlIn2HPb at its relaxed geometry (GGA-PBE, Alexandria).

**E above lowest polymorph**: 0.073 eV/f.u.
**DOS at the Fermi energy**: 0.5183 states/eV per atom
**Final energy**: -0.204 Ry/atom
**V**: 24.416 A^3/atom

Cell and atoms, written as CIF:
```
data_TlIn2HPb
_chemical_formula_sum 'Tl1 In2 H1 Pb1'
_space_group_name_H-M_alt 'P 4/m m m'
_space_group_IT_number 123
_space_group_name_Hall '-P 4 2'
_cell_length_a 5.0219
_cell_length_b 5.0219
_cell_length_c 4.8407
_cell_angle_alpha 90.00
_cell_angle_beta 90.00
_cell_angle_gamma 90.00
loop_
_atom_site_label
_atom_site_fract_x
_atom_site_fract_y
_atom_site_fract_z
Tl1 0.0000 0.0000 0.0000
In1 0.0000 0.5000 0.5000
H1 0.5000 0.5000 0.5000
Pb1 0.5000 0.5000 0.0000
```

# GdMgInHg

Crystalline GdMgInHg at its relaxed geometry (GGA-PBE, Alexandria).

**Formation energy**: -406 meV/atom
**DOS at the Fermi energy**: 0.5015 states/eV per atom
**Final energy**: -0.374 Ry/atom
**V**: 24.431 A^3/atom

Cell and atoms, written as CIF:
```
data_GdMgInHg
_chemical_formula_sum 'Gd4 Mg4 In4 Hg4'
_space_group_name_H-M_alt 'F -4 3 m'
_space_group_IT_number 216
_space_group_name_Hall 'F -4 2 3'
_cell_length_a 7.3118
_cell_length_b 7.3118
_cell_length_c 7.3118
_cell_angle_alpha 90.00
_cell_angle_beta 90.00
_cell_angle_gamma 90.00
loop_
_atom_site_label
_atom_site_fract_x
_atom_site_fract_y
_atom_site_fract_z
Gd1 0.0000 0.0000 0.0000
Mg1 0.0000 0.0000 0.5000
In1 0.2500 0.2500 0.2500
Hg1 0.2500 0.2500 0.7500
```

# Pr2Nd3YTe6

Crystalline Pr2Nd3YTe6 at its relaxed geometry (GGA-PBE, Alexandria).

**Formation energy from raw total energies**: -16.9 eV/f.u.
**DOS at the Fermi energy**: 0.5584 states/eV per atom
**Final energy**: -0.405 Ry/atom
**V**: 31.990 A^3/atom

Cell and atoms, written as CIF:
```
data_Pr2Nd3YTe6
_chemical_formula_sum 'Pr4 Nd6 Y2 Te12'
_space_group_name_H-M_alt 'C 1 2/m 1'
_space_group_IT_number 12
_cell_length_a 19.5476
_cell_length_b 4.4644
_cell_length_c 9.0272
_cell_angle_alpha 90.00
_cell_angle_beta 102.94
_cell_angle_gamma 90.00
loop_
_space_group_symop_operation_xyz
'x,y,z'
'-x,-y,-z'
'-x,y,-z'
'x,-y,z'
'x+1/2,y+1/2,z'
'-x+1/2,-y+1/2,-z'
'-x+1/2,y+1/2,-z'
'x+1/2,-y+1/2,z'
loop_
_atom_site_label
_atom_site_fract_x
_atom_site_fract_y
_atom_site_fract_z
Pr1 0.1690 0.0000 0.3361
Nd1 0.0000 0.5000 0.5000
Nd2 0.1717 0.0000 0.8344
Y1 0.0000 0.5000 0.0000
Te1 0.0018 0.0000 0.7587
Te2 0.1615 0.5000 0.0790
Te3 0.1648 0.5000 0.5845
```